(1)
BiSN2F GGA-PBE optimized geometry; energy relative to the lowest polymorph listed for this composition = 4.21 eV/f.u.; total magnetization = 4.906 Bohr magnetons per cell
1.0
4.4990 0.0000 0.0000
0.0000 4.4990 0.0000
0.0000 0.0000 5.4109
Bi S N F
1 1 2 1
Direct
0.0000 0.0000 0.0000
0.0000 0.0000 0.5000
0.0000 0.5000 0.0000
0.5000 0.0000 0.0000
0.5000 0.5000 0.5000

=====

(2)
BiSN2F GGA-PBE optimized geometry; energy relative to the lowest polymorph listed for this composition = 4.86 eV/f.u.; total magnetization = 0.504 Bohr magnetons per cell
1.0
4.1486 0.0000 0.0000
0.0000 4.1486 0.0000
0.0000 0.0000 3.9041
Bi S N F
1 1 2 1
Direct
0.0000 0.0000 0.0000
0.5000 0.5000 0.0000
0.0000 0.5000 0.5000
0.5000 0.0000 0.5000
0.5000 0.5000 0.5000

=====

(3)
BiSNF2 GGA-PBE optimized geometry; energy relative to the lowest polymorph listed for this composition = 0.00 eV/f.u.; total magnetization = 0.000 Bohr magnetons per cell
1.0
4.9676 0.0000 0.0000
0.0000 4.9676 0.0000
0.0000 0.0000 3.2372
Bi S N F
1 1 1 2
Direct
0.0000 0.0000 0.0000
0.5000 0.5000 0.5000
0.5000 0.5000 0.0000
0.0000 0.5000 0.5000
0.5000 0.0000 0.5000

=====

(4)
BiSbN2F GGA-PBE optimized geometry; energy relative to the lowest polymorph listed for this composition = 0.00 eV/f.u.; total magnetization = 0.000 Bohr magnetons per cell
1.0
4.2275 0.0000 0.0000
0.0000 4.2275 0.0000
0.0000 0.0000 4.2037
Bi Sb N F
1 1 2 1
Direct
0.0000 0.0000 0.0000
0.5000 0.5000 0.5000
0.0000 0.5000 0.5000
0.5000 0.0000 0.5000
0.5000 0.5000 0.0000